Material: NaHf2RhI
Method: DFT, GGA-PBE
State: optimized geometry

a b c (Å): 5.2126 5.2126 4.9783
angles (deg): 90.00 90.00 90.00
With the nearest neighbours (Å) after each atom.
Fractional positions:
Na (0.0000, 0.0000, 0.0000)  2 I 2.49
Hf (0.0000, 0.5000, 0.5000)  2 I 2.61
Hf (0.5000, 0.0000, 0.5000)  2 I 2.61
Rh (0.5000, 0.5000, 0.0000)  8 Hf 3.60, 4 Na 3.69
I (0.0000, 0.0000, 0.5000)  2 Na 2.49, 4 Hf 2.61

## Properties
The formation energy without anion corrections comes out at 1338 meV per atom. As for the size of the total moment: 0.0000 μB per atom. As for the symmetry: P4/mmm (123). Its calculated volume is 135.3 Å³/f.u. The total energy is -4.688 eV/atom.